Material: MgTe2S
Method: DFT, GGA-PBE
State: relaxed

Properties
calculated total energy	-0.097	hartree per atom
formation energy from raw total energies	0.352	eV per atom
energy above the most stable polymorph in this dataset	378	meV per atom

```
MgTe2S
1.0
2.044 0.000 9.842
-1.022 1.770 9.842
-1.022 -1.770 9.842
S Te Mg
1 2 1
Cartesian
0.000 0.000 14.763
0.000 0.000 26.622
0.000 0.000 2.905
0.000 0.000 0.000
```

***

Material: ReCl4F4
Method: DFT, GGA-PBE
State: relaxed

Properties
calculated total energy	-0.145	hartree per atom
formation energy from raw total energies	-0.923	eV per atom

```
ReCl4F4
1.0
-0.167 5.967 1.117
-5.183 1.004 -6.140
-6.217 -1.122 5.065
Re Cl F
2 8 8
Cartesian
0.000 0.000 0.000
-5.784 2.925 0.021
-7.251 3.880 -1.570
-4.354 3.319 1.865
-9.680 0.871 -2.364
-7.814 4.452 4.339
-3.883 6.016 -3.432
-4.026 2.564 -1.521
-7.504 1.936 1.310
-1.758 0.361 1.542
-6.993 0.582 4.490
-6.706 4.328 1.028
-4.495 2.424 -4.980
-5.008 1.221 0.596
-10.645 4.446 -0.965
-6.472 1.505 -1.139
-4.949 4.645 -0.402
-1.002 4.247 1.539
```

***

Material: Tl2GaPdF6
Method: DFT, GGA-PBE
State: relaxed

Properties
calculated total energy	-0.157	hartree per atom
formation energy from raw total energies	-1.852	eV per atom

```
Tl2GaPdF6
1.0
-3.857 3.688 2.792
-0.278 0.072 6.016
6.359 9.145 3.199
Tl Ga Pd F
4 2 2 12
Cartesian
-1.106 6.849 8.911
3.331 6.056 3.096
2.565 10.594 9.036
-0.341 2.311 2.971
0.000 0.000 0.000
1.112 6.452 6.004
-1.009 4.288 5.931
3.234 8.616 6.076
-0.797 6.753 5.912
0.824 5.115 7.372
0.950 5.083 4.647
3.021 6.152 6.095
1.400 7.790 4.635
1.274 7.822 7.360
2.871 10.937 6.031
4.811 8.977 7.778
4.962 8.937 4.518
-0.647 1.968 5.976
-2.587 3.928 4.229
-2.737 3.967 7.489
```